Cr2Ge2Mo | PBE | optimized geometry

Summary:
* total energy: -77.4 eV per cell
* M_tot: 2.66 μB/f.u.
* ρ: 8.163 Mg/m³
* formation energy: 0.1196 eV per atom
* density of states at the Fermi level: 11.8 states/eV/cell

a b c (Å): 6.8978 6.8978 2.9518
angles (deg): 90.00 90.00 90.00
Last column: magnetic moment on the atom in μB.
Atoms (fractional coordinates):
Cr 0.1492 0.6492 0.5000  1.46
Cr 0.6492 0.8508 0.5000  1.48
Cr 0.8508 0.3508 0.5000  1.46
Cr 0.3508 0.1492 0.5000  1.48
Mo 0.0000 0.0000 0.0000  -0.24
Mo 0.5000 0.5000 0.0000  -0.24
Ge 0.3534 0.8534 0.0000  -0.06
Ge 0.8534 0.6466 0.0000  -0.05
Ge 0.6466 0.1466 0.0000  -0.06
Ge 0.1466 0.3534 0.0000  -0.05